[1]
The following is a PBE calculation of crystalline BPdW at its relaxed geometry, from Alexandria.

Calculated values
* total magnetic moment: 0.0 μB/f.u.
* VASP energy: -8.24 eV/atom
* ΔE_f: 0.0338 eV/atom

Lattice parameters (Å, degrees): 3.023 4.543 6.488 68.54 76.53 70.56
Atoms (fractional coordinates):
W  0.827  0.518  0.828
W  0.173  0.482  0.172
B  0.088  0.949  0.875
B  0.912  0.051  0.125
Pd  0.608  0.175  0.610
Pd  0.392  0.825  0.390

=====

[2]
The following is a PBE calculation of crystalline ZnSnP14 at its relaxed geometry, from Alexandria.

Calculated values
* total magnetic moment: 0.0 μB/f.u.
* VASP energy: -5.12 eV/atom
* ΔE_f: -0.0517 eV/atom

Lattice parameters (Å, degrees): 9.834 10.739 13.056 90.00 90.00 90.00
Atoms (fractional coordinates):
P  0.078  0.352  0.475
P  0.250  0.846  0.318
P  0.551  0.876  0.858
P  0.422  0.148  0.975
P  0.922  0.648  0.525
P  0.922  0.852  0.025
P  0.078  0.320  0.186
P  0.578  0.648  0.525
P  0.750  0.605  0.905
P  0.082  0.712  0.057
P  0.577  0.089  0.587
P  0.750  0.722  0.048
P  0.577  0.411  0.087
P  0.750  0.346  0.182
P  0.418  0.712  0.057
P  0.449  0.376  0.642
P  0.923  0.411  0.087
P  0.922  0.820  0.314
P  0.077  0.589  0.913
P  0.250  0.656  0.526
P  0.750  0.154  0.682
P  0.423  0.911  0.413
P  0.750  0.895  0.405
P  0.923  0.089  0.587
P  0.051  0.124  0.142
P  0.422  0.180  0.686
P  0.750  0.156  0.974
P  0.449  0.124  0.142
P  0.423  0.589  0.913
P  0.922  0.680  0.814
P  0.077  0.911  0.413
P  0.078  0.148  0.975
P  0.250  0.395  0.095
P  0.422  0.352  0.475
P  0.250  0.654  0.818
P  0.578  0.680  0.814
P  0.578  0.852  0.025
P  0.082  0.788  0.557
P  0.949  0.876  0.858
P  0.551  0.624  0.358
P  0.918  0.212  0.443
P  0.250  0.222  0.452
P  0.582  0.288  0.943
P  0.949  0.624  0.358
P  0.918  0.288  0.943
P  0.250  0.105  0.595
P  0.250  0.278  0.952
P  0.582  0.212  0.443
P  0.418  0.788  0.557
P  0.750  0.778  0.548
P  0.250  0.844  0.026
P  0.051  0.376  0.642
P  0.750  0.344  0.474
P  0.078  0.180  0.686
P  0.422  0.320  0.186
P  0.578  0.820  0.314
Zn  0.250  0.507  0.673
Zn  0.750  0.007  0.827
Zn  0.750  0.493  0.327
Zn  0.250  0.993  0.173
Sn  0.250  0.591  0.327
Sn  0.750  0.091  0.173
Sn  0.250  0.909  0.827
Sn  0.750  0.409  0.673

=====

[3]
The following is a PBE calculation of crystalline LiCeIn5 at its relaxed geometry, from Alexandria.

Calculated values
* total magnetic moment: 0.7 μB/f.u.
* VASP energy: -3.29 eV/atom
* ΔE_f: -0.2080 eV/atom

Lattice parameters (Å, degrees): 4.664 4.664 8.087 90.00 90.00 90.00
Site moments in Bohr magnetons follow the coordinates.
Atoms (fractional coordinates):
In  0.500  0.000  0.198  0.00
In  0.000  0.500  0.198  0.00
In  0.500  0.000  0.802  0.00
In  0.000  0.500  0.802  0.00
In  0.500  0.500  0.500  0.00
Ce  0.000  0.000  0.500  0.67
Li  0.500  0.500  0.000  0.00